## LaMgSc2N (PBE)

Data for a geometry-optimized LaMgSc2N structure.

Properties
**Size of the total moment**: 0.0 μB/f.u.
**Raw formation energy**: -317.4 kJ/mol of formula units
**Theoretical density**: 4122 kg/m3
**D(E_F)**: 1.0490 states/eV per atom

Cell: 4.577 4.577 5.138 Å, 90.00 90.00 90.00°
Atoms (fractional coordinates):
La 0.000 0.000 0.000
Mg 0.500 0.500 0.000
Sc 0.000 0.500 0.500
Sc 0.500 0.000 0.500
N 0.000 0.000 0.500